(1)
Y4BiPbC after structural relaxation. Source: Alexandria via LeMat-Bulk, functional GGA-PBE.

Structure (POSCAR):
```
Y4BiPbC
1.0
-2.8902 4.4685 -4.3430
-1.9722 -5.1954 -4.0331
-5.4545 -2.7598 6.2224
Y C Pb Bi
8 2 2 2
direct
0.4041 0.7500 0.8082
0.5000 0.5000 0.5000
0.0000 0.5000 0.5000
0.5000 0.0000 0.5000
0.5959 0.2500 0.1918
0.0936 0.7500 0.1873
0.9064 0.2500 0.8127
0.0000 0.0000 0.5000
0.2496 0.7500 0.4991
0.7504 0.2500 0.5009
0.1063 0.2500 0.2125
0.8937 0.7500 0.7875
0.6055 0.7500 0.2111
0.3945 0.2500 0.7889
```

Results
The calculation puts the mass density at 6.88 g/cm³. Its calculated formation energy is -635 meV per atom.

---

(2)
TlAs2Os after structural relaxation. Source: Alexandria via LeMat-Bulk, functional GGA-PBE.

Structure (POSCAR):
```
TlAs2Os
1.0
-1.4801 -3.7658 2.6554
-0.1022 -2.2635 -3.2669
3.7839 -1.0552 0.6127
As Os Tl
2 1 1
direct
0.0000 0.5000 0.5000
0.0000 0.0000 0.0000
0.5000 0.5000 0.0000
0.5000 0.0000 0.5000
```

Results
The calculation puts the offset from the most stable computed form at 759 meV per atom. The calculation puts the mass density at 11.82 g/cm³. Its calculated formation energy is 896 meV per atom.

---

(3)
Tm5Bi5Pb after structural relaxation. Source: Alexandria via LeMat-Bulk, functional GGA-PBE.

Structure (POSCAR):
```
Tm5Bi5Pb
1.0
6.1736 0.0000 0.0000
-3.0868 6.9877 -0.0529
0.0000 -2.6727 8.2967
Tm Bi Pb
5 5 1
direct
0.8264 0.6529 0.1629
0.8311 0.6622 0.6662
0.5000 0.0000 0.0000
0.1736 0.3471 0.8371
0.1689 0.3378 0.3338
0.6558 0.3116 0.8128
0.3423 0.6847 0.6578
0.0000 0.0000 0.5000
0.3442 0.6884 0.1872
0.6577 0.3153 0.3422
0.0000 0.0000 0.0000
```

Results
The calculation puts the mass density at 9.75 g/cm³. Its calculated formation energy is -465 meV per atom.

---

(4)
BaHfV2 after structural relaxation. Source: Alexandria via LeMat-Bulk, functional GGA-PBE.

Structure (POSCAR):
```
BaHfV2
1.0
0.0000 3.5829 3.5829
3.5829 0.0000 3.5829
3.5829 3.5829 0.0000
V Hf Ba
2 1 1
direct
0.2500 0.2500 0.2500
0.7500 0.7500 0.7500
0.5000 0.5000 0.5000
0.0000 0.0000 0.0000
```

Results
The calculation puts the offset from the most stable computed form at 0 meV per atom. The calculation puts the mass density at 7.54 g/cm³. Its calculated formation energy is 1019 meV per atom.

---

(5)
AlZnCd2 after structural relaxation. Source: Alexandria via LeMat-Bulk, functional GGA-PBE.

Structure (POSCAR):
```
AlZnCd2
1.0
3.0425 0.0000 0.0000
0.0000 3.0425 0.0000
0.0000 0.0000 8.4435
Cd Al Zn
2 1 1
direct
0.0000 0.0000 0.0073
0.0000 0.0000 0.4927
0.5000 0.5000 0.7500
0.5000 0.5000 0.2500
```

Results
The calculation puts the offset from the most stable computed form at 61 meV per atom. The calculation puts the mass density at 6.74 g/cm³. Its calculated formation energy is 119 meV per atom.

---

(6)
ReF4 after structural relaxation. Source: Alexandria via LeMat-Bulk, functional GGA-PBE.

Structure (POSCAR):
```
ReF4
1.0
-0.8554 -4.8075 0.6280
-1.8535 1.0321 5.3778
-5.5850 1.1165 0.9427
Re F
2 8
direct
0.0000 0.5000 0.0000
0.5000 0.0000 0.0000
0.2506 0.6752 0.1500
0.2683 0.1521 0.6917
0.7494 0.3248 0.8500
0.7317 0.8479 0.3083
0.7686 0.3479 0.3085
0.2314 0.6521 0.6915
0.7504 0.8247 0.8500
0.2496 0.1753 0.1500
```

Results
The calculation puts the offset from the most stable computed form at 0 meV per atom. The value obtained for the formation energy (no corrections) is -1.8292 eV/atom. The calculation puts the mass density at 6.11 g/cm³.

---

(7)
Li3Mg12Cd after structural relaxation. Source: Alexandria via LeMat-Bulk, functional GGA-PBE.

Structure (POSCAR):
```
Li3Mg12Cd
1.0
4.3994 0.0000 0.0000
0.0000 4.3994 0.0000
0.0000 0.0000 18.1389
Mg Li Cd
12 3 1
direct
0.0000 0.5000 0.8724
0.5000 0.0000 0.8724
0.5000 0.0000 0.3766
0.5000 0.5000 0.2518
0.5000 0.0000 0.6234
0.0000 0.5000 0.1276
0.5000 0.5000 0.0000
0.5000 0.5000 0.5000
0.5000 0.0000 0.1276
0.5000 0.5000 0.7482
0.0000 0.5000 0.6234
0.0000 0.5000 0.3766
0.0000 0.0000 0.2534
0.0000 0.0000 0.5000
0.0000 0.0000 0.7466
0.0000 0.0000 0.0000
```

Results
The calculation puts the mass density at 2.01 g/cm³. Its calculated formation energy is -33 meV per atom.

---

(8)
TePb3Cl2O4 after structural relaxation. Source: Alexandria via LeMat-Bulk, functional GGA-PBE.

Structure (POSCAR):
```
TePb3Cl2O4
1.0
6.9964 0.0005 0.0000
-4.7173 5.1669 0.0000
0.0000 0.0000 5.6350
Pb Cl O Te
3 2 4 1
direct
0.8961 0.1039 0.0000
0.3904 0.6096 0.5000
0.6096 0.3904 0.0000
0.7497 0.2503 0.5000
0.2635 0.7365 0.0000
0.2374 0.2265 0.2672
0.7735 0.7626 0.7328
0.7735 0.7626 0.2672
0.2374 0.2265 0.7328
0.0689 0.9311 0.5000
```

Results
The value obtained for the formation energy (no corrections) is -1.2015 eV/atom. The calculation puts the mass density at 7.21 g/cm³.

---

(9)
CePuIrRu after structural relaxation. Source: Alexandria via LeMat-Bulk, functional GGA-PBE.

Structure (POSCAR):
```
CePuIrRu
1.0
-3.9061 0.5364 -2.8477
-4.4563 -0.0643 1.9472
-2.6205 4.0918 0.2119
Ir Ru Pu Ce
1 1 1 1
direct
0.2500 0.2500 0.2500
0.7500 0.7500 0.7500
0.5000 0.5000 0.5000
0.0000 0.0000 0.0000
```

Results
The calculation puts the mass density at 13.83 g/cm³. Its calculated formation energy is -381 meV per atom.

---

(10)
ZnSO5 after structural relaxation. Source: Alexandria via LeMat-Bulk, functional GGA-PBE.

Structure (POSCAR):
```
ZnSO5
1.0
7.7194 -0.0222 1.3648
0.5577 7.3811 1.0743
2.1619 1.4470 8.0245
O S Zn
20 4 4
direct
0.4766 0.8413 0.3447
0.7607 0.4408 0.9658
0.2393 0.5592 0.0342
0.0686 0.2442 0.7317
0.6904 0.5655 0.5607
0.7119 0.9598 0.9588
0.6806 0.0916 0.6130
0.5234 0.1587 0.6553
0.6519 0.8098 0.9650
0.9455 0.7195 0.5646
0.3096 0.4345 0.4393
0.3481 0.1902 0.0350
0.2544 0.5807 0.7295
0.9314 0.7558 0.2683
0.0957 0.8179 0.8695
0.2881 0.0402 0.0412
0.9043 0.1821 0.1305
0.0545 0.2805 0.4354
0.7456 0.4193 0.2705
0.3194 0.9084 0.3870
0.1895 0.2439 0.5279
0.7241 0.3005 0.1550
0.2759 0.6995 0.8450
0.8105 0.7561 0.4721
0.0017 0.5110 0.7494
0.0000 0.0000 0.0000
0.9983 0.4890 0.2506
0.5000 0.5000 0.5000
```

Results
The calculation puts the offset from the most stable computed form at 0 meV per atom. The value obtained for the formation energy (no corrections) is -0.8475 eV/atom. The calculation puts the mass density at 2.78 g/cm³.

---

(11)
LiLaCr2 after structural relaxation. Source: Alexandria via LeMat-Bulk, functional GGA-PBE.

Structure (POSCAR):
```
LiLaCr2
1.0
3.4161 0.0000 0.0000
0.0000 3.4155 0.0000
0.0000 0.0000 6.3743
La Cr Li
1 2 1
direct
0.5000 0.5000 0.2500
0.0000 0.0000 0.8949
0.0000 0.0000 0.6051
0.5000 0.5000 0.7500
```

Results
The calculation puts the offset from the most stable computed form at 298 meV per atom. The calculation puts the mass density at 5.58 g/cm³. Its calculated formation energy is 684 meV per atom.

---

(12)
CaH8PdPt2 after structural relaxation. Source: Alexandria via LeMat-Bulk, functional GGA-PBE.

Structure (POSCAR):
```
CaH8PdPt2
1.0
4.8521 0.0000 0.0000
2.4260 4.2020 0.0000
2.4260 1.4007 5.5245
Ca H Pd Pt
1 8 1 2
direct
0.5000 0.5000 0.5000
0.8193 0.8193 0.5420
0.2710 0.9255 0.1727
0.7290 0.0745 0.8273
0.0745 0.3691 0.8273
0.1807 0.1807 0.4580
0.3691 0.7290 0.8273
0.6309 0.2710 0.1727
0.9255 0.6309 0.1727
0.0000 0.0000 0.0000
0.2780 0.2780 0.1659
0.7220 0.7220 0.8341
```

Results
The calculation puts the mass density at 8.03 g/cm³. For the total energy, the calculation gives -47.9 eV per cell.